CsBa2SrZn: relaxed, GGA-PBE.

Computed properties:
* electronic total energy: -7.5 eV/f.u.

a = 6.731 Å, b = 6.731 Å, c = 6.603 Å
α = 90.00°, β = 90.00°, γ = 90.00°
Space group P4/mmm (No. 123)
One atom of each set of equivalent atoms:
1 Cs 0.000 0.000 0.000 (multiplicity 1)
2 Ba 0.000 0.500 0.500 (multiplicity 2)
3 Sr 0.500 0.500 0.000 (multiplicity 1)
4 Zn 0.500 0.500 0.500 (multiplicity 1)